First-principles (GGA-PBE) data for an optimized crystal structure of CeDyCo2, as listed in Alexandria.

## Properties
Total magnetization: 0.00 Bohr magnetons per cell
Total energy: -6.413 eV per atom
Mass density: 8.9 Mg/m³
Volume: 19.592 Å³ per atom

Cell: 5.965 6.021 9.386 Å, 90.00 111.58 90.00°
Space group P2/c (No. 13)
Symmetry-distinct sites (fractional):
Ce 0.195 0.135 0.155 (multiplicity 4)
Dy 0.308 0.359 0.851 (multiplicity 4)
Co 0.114 0.335 0.530 (multiplicity 4)
Co 0.349 0.134 0.409 (multiplicity 4)